# UVClO4 (PBE with a Hubbard U, optimized geometry)
data_UVClO4
_chemical_formula_sum 'U2 V2 Cl2 O8'
_space_group_name_H-M_alt 'P 1'
_space_group_IT_number 1
_space_group_name_Hall 'P 1'
_cell_length_a 6.167
_cell_length_b 6.167
_cell_length_c 6.930
_cell_angle_alpha 75.97
_cell_angle_beta 75.97
_cell_angle_gamma 66.92
loop_
_atom_site_label
_atom_site_type_symbol
_atom_site_fract_x
_atom_site_fract_y
_atom_site_fract_z
O1 O 0.097 0.489 0.153
Cl1 Cl 0.010 0.010 0.227
O2 O 0.288 0.288 0.544
V1 V 0.368 0.368 0.283
O3 O 0.452 0.452 0.800
O4 O 0.712 0.712 0.456
V2 V 0.632 0.632 0.717
O5 O 0.548 0.548 0.200
U1 U 0.234 0.234 0.869
O6 O 0.511 0.903 0.847
U2 U 0.766 0.766 0.131
O7 O 0.489 0.097 0.153
O8 O 0.903 0.511 0.847
Cl2 Cl 0.990 0.990 0.773
# * VASP energy: -113.69 eV for the cell shown